Record 1
Here is RbIn2Hg3 after structural relaxation from Alexandria via LeMat-Bulk. Energies are from PBE.

Cell and atoms, written as CIF:
```
data_RbIn2Hg3
_chemical_formula_sum 'Rb2 In4 Hg6'
_cell_length_a 4.9863
_cell_length_b 4.9863
_cell_length_c 18.2321
_cell_angle_alpha 90.00
_cell_angle_beta 90.00
_cell_angle_gamma 120.00
_space_group_name_H-M_alt 'P 63/m m c'
_space_group_IT_number 194
_space_group_name_Hall '-P 6c 2c'
loop_
_atom_site_label
_atom_site_type_symbol
_atom_site_fract_x
_atom_site_fract_y
_atom_site_fract_z
Rb1 Rb 0.0000 0.0000 0.2500
In1 In 0.3333 0.6667 0.0649
Hg1 Hg 0.0000 0.0000 0.0000
Hg2 Hg 0.3333 0.6667 0.6309
```

## Properties
Energy relative to the elements   -128.7 meV per atom
E   -16.245 eV for the cell shown
Crystal system   hexagonal
Polymorph energy (0 for the lowest one)   0.000 eV per atom
Total magnetic moment   0.00 μB per formula unit

Record 2
Here is RbIn3Hg9 after structural relaxation from Alexandria via LeMat-Bulk. Energies are from PBE.

Cell and atoms, written as CIF:
```
data_RbIn3Hg9
_chemical_formula_sum 'Rb2 In6 Hg18'
_cell_length_a 6.3341
_cell_length_b 15.6738
_cell_length_c 8.0066
_cell_angle_alpha 90.00
_cell_angle_beta 107.34
_cell_angle_gamma 90.00
_space_group_name_H-M_alt 'C 1 2/m 1'
_space_group_IT_number 12
_space_group_name_Hall '-C 2y'
loop_
_atom_site_label
_atom_site_type_symbol
_atom_site_fract_x
_atom_site_fract_y
_atom_site_fract_z
Rb1 Rb 0.0000 0.0000 0.0000
In1 In 0.0000 0.5000 0.5000
In2 In 0.2500 0.2500 0.0000
Hg1 Hg 0.0000 0.0000 0.5000
Hg2 Hg 0.1110 0.3871 0.2244
Hg3 Hg 0.1773 0.1774 0.3572
```

## Properties
Energy relative to the elements   -56.0 meV per atom
E   -25.255 eV for the cell shown
Crystal system   monoclinic
Total magnetic moment   0.00 μB per formula unit

Record 3
Here is RbIn3Hg after structural relaxation from Alexandria via LeMat-Bulk. Energies are from PBE.

Cell and atoms, written as CIF:
```
data_RbIn3Hg
_chemical_formula_sum 'Rb2 In6 Hg2'
_cell_length_a 7.4987
_cell_length_b 7.4987
_cell_length_c 6.7749
_cell_angle_alpha 90.00
_cell_angle_beta 90.00
_cell_angle_gamma 120.00
_space_group_name_H-M_alt 'P 63/m m c'
_space_group_IT_number 194
_space_group_name_Hall '-P 6c 2c'
loop_
_atom_site_label
_atom_site_type_symbol
_atom_site_fract_x
_atom_site_fract_y
_atom_site_fract_z
Rb1 Rb 0.3333 0.6667 0.2500
In1 In 0.1910 0.3820 0.7500
Hg1 Hg 0.0000 0.0000 0.0000
```

## Properties
Energy relative to the elements   11.7 meV per atom
E   -18.853 eV for the cell shown
Crystal system   hexagonal
Polymorph energy (0 for the lowest one)   0.140 eV per atom
Total magnetic moment   0.00 μB per formula unit

Record 4
Here is RbIn6Hg after structural relaxation from Alexandria via LeMat-Bulk. Energies are from PBE.

Cell and atoms, written as CIF:
```
data_RbIn6Hg
_chemical_formula_sum 'Rb1 In6 Hg1'
_cell_length_a 5.2548
_cell_length_b 5.2548
_cell_length_c 9.0741
_cell_angle_alpha 90.00
_cell_angle_beta 90.00
_cell_angle_gamma 90.00
_space_group_name_H-M_alt 'P 4/m m m'
_space_group_IT_number 123
_space_group_name_Hall '-P 4 2'
loop_
_atom_site_label
_atom_site_type_symbol
_atom_site_fract_x
_atom_site_fract_y
_atom_site_fract_z
Rb1 Rb 0.0000 0.0000 0.0000
In1 In 0.0000 0.5000 0.3276
In2 In 0.5000 0.5000 0.1616
Hg1 Hg 0.0000 0.0000 0.5000
```

## Properties
Energy relative to the elements   -79.3 meV per atom
E   -18.334 eV for the cell shown
Crystal system   tetragonal
Polymorph energy (0 for the lowest one)   0.000 eV per atom
Total magnetic moment   0.00 μB per formula unit

Record 5
Here is RbInHg3 after structural relaxation from Alexandria via LeMat-Bulk. Energies are from PBE.

Cell and atoms, written as CIF:
```
data_RbInHg3
_chemical_formula_sum 'Rb1 In1 Hg3'
_cell_length_a 6.4346
_cell_length_b 6.4346
_cell_length_c 6.4346
_cell_angle_alpha 90.00
_cell_angle_beta 90.00
_cell_angle_gamma 90.00
_space_group_name_H-M_alt 'P m -3 m'
_space_group_IT_number 221
_space_group_name_Hall '-P 4 2 3'
loop_
_atom_site_label
_atom_site_type_symbol
_atom_site_fract_x
_atom_site_fract_y
_atom_site_fract_z
Rb1 Rb 0.0000 0.0000 0.0000
In1 In 0.5000 0.5000 0.5000
Hg1 Hg 0.0000 0.0000 0.5000
```

## Properties
Energy relative to the elements   382.9 meV per atom
E   -2.697 eV for the cell shown
Crystal system   cubic
Polymorph energy (0 for the lowest one)   0.520 eV per atom
Total magnetic moment   0.00 μB per formula unit

Record 6
Here is Rb6InHg after structural relaxation from Alexandria via LeMat-Bulk. Energies are from PBE.

Cell and atoms, written as CIF:
```
data_Rb6InHg
_chemical_formula_sum 'Rb12 In2 Hg2'
_cell_length_a 5.0332
_cell_length_b 14.2479
_cell_length_c 15.5295
_cell_angle_alpha 90.00
_cell_angle_beta 90.00
_cell_angle_gamma 90.00
_space_group_name_H-M_alt 'A m m 2'
_space_group_IT_number 38
_space_group_name_Hall 'A 2 -2'
loop_
_atom_site_label
_atom_site_type_symbol
_atom_site_fract_x
_atom_site_fract_y
_atom_site_fract_z
Rb1 Rb 0.0000 0.0000 0.0000
Rb2 Rb 0.0000 0.1576 0.7053
Rb3 Rb 0.5000 0.0000 0.2699
Rb4 Rb 0.5000 0.2189 0.4599
In1 In 0.0000 0.0000 0.4872
Hg1 Hg 0.5000 0.0000 0.5844
```

## Properties
Energy relative to the elements   -47.2 meV per atom
E   -18.446 eV for the cell shown
Crystal system   orthorhombic
Total magnetic moment   0.00 μB per formula unit

Record 7
Here is Rb3In2Hg9 after structural relaxation from Alexandria via LeMat-Bulk. Energies are from PBE.

Cell and atoms, written as CIF:
```
data_Rb3In2Hg9
_chemical_formula_sum 'Rb6 In4 Hg18'
_cell_length_a 5.4368
_cell_length_b 10.5522
_cell_length_c 15.7392
_cell_angle_alpha 90.00
_cell_angle_beta 90.00
_cell_angle_gamma 90.00
_space_group_name_H-M_alt 'I m m m'
_space_group_IT_number 71
_space_group_name_Hall '-I 2 2'
loop_
_atom_site_label
_atom_site_type_symbol
_atom_site_fract_x
_atom_site_fract_y
_atom_site_fract_z
Rb1 Rb 0.0000 0.0000 0.0000
Rb2 Rb 0.0000 0.0000 0.2820
In1 In 0.0000 0.1652 0.5000
Hg1 Hg 0.0000 0.2955 0.1427
Hg2 Hg 0.0000 0.3516 0.3441
Hg3 Hg 0.0000 0.5000 0.0000
```

## Properties
Energy relative to the elements   -182.0 meV per atom
E   -27.288 eV for the cell shown
Crystal system   orthorhombic
Total magnetic moment   0.00 μB per formula unit

Record 8
Here is Rb3InHg7 after structural relaxation from Alexandria via LeMat-Bulk. Energies are from PBE.

Cell and atoms, written as CIF:
```
data_Rb3InHg7
_chemical_formula_sum 'Rb12 In4 Hg28'
_cell_length_a 4.5515
_cell_length_b 23.8474
_cell_length_c 15.2876
_cell_angle_alpha 90.00
_cell_angle_beta 90.00
_cell_angle_gamma 90.00
_space_group_name_H-M_alt 'C m c m'
_space_group_IT_number 63
_space_group_name_Hall '-C 2c 2'
loop_
_atom_site_label
_atom_site_type_symbol
_atom_site_fract_x
_atom_site_fract_y
_atom_site_fract_z
Rb1 Rb 0.0000 0.1086 0.0423
Rb2 Rb 0.0000 0.2415 0.7500
In1 In 0.0000 0.0403 0.7500
Hg1 Hg 0.0000 0.2733 0.0496
Hg2 Hg 0.0000 0.3771 0.1549
Hg3 Hg 0.0000 0.4199 0.7500
Hg4 Hg 0.0000 0.4953 0.1017
```

## Properties
Energy relative to the elements   -190.4 meV per atom
E   -39.394 eV for the cell shown
Crystal system   orthorhombic
Total magnetic moment   0.00 μB per formula unit

Q: Among the records above, which one has the lowest E?
A: Rb3InHg7